Record 1
{"formula": "TcMo2Se", "functional": "PBE", "state": "relaxed", "raw_formation_energy_ev_per_atom": 0.18, "space_group": "C2/m, No. 12", "total_energy_ev_per_cell": -34.81, "lattice": [[-3.3168, -1.0164, 3.8994], [-3.4677, -3.3794, 1.9478], [1.5727, -2.7160, 3.1669]], "species": ["Mo", "Mo", "Se", "Tc"], "fractional_positions": [[0.0176, 0.0176, 0.9831], [0.4824, 0.4824, 0.5169], [0.7500, 0.7500, 0.7500], [0.2500, 0.2500, 0.2500]]}

=====

Record 2
{"formula": "TcMo2Se", "functional": "PBE", "state": "relaxed", "raw_formation_energy_ev_per_atom": 0.36, "space_group": "C2/m, No. 12", "total_energy_ev_per_cell": -34.09, "lattice": [[-1.3583, -0.0656, -5.0956], [4.6085, -1.4398, 1.1394], [-0.2064, -2.8651, -0.6678]], "species": ["Mo", "Mo", "Se", "Tc"], "fractional_positions": [[0.0000, 0.0000, 0.0000], [0.5000, 0.0000, 0.5000], [0.0000, 0.5000, 0.5000], [0.5000, 0.5000, 0.0000]]}

=====

Record 3
{"formula": "TcMoSe", "functional": "PBE", "state": "relaxed", "raw_formation_energy_ev_per_atom": 0.20, "space_group": "F-43m, No. 216", "de_polymorph_ev_per_atom": 0.1350, "total_energy_ev_per_cell": -24.08, "lattice": [[-1.7534, 2.8895, 2.5179], [0.4356, -0.3052, 4.1809], [2.4351, 2.7466, 2.0711]], "species": ["Mo", "Se", "Tc"], "fractional_positions": [[0.0000, 0.0000, 0.0000], [0.5000, 0.5000, 0.5000], [0.7500, 0.7500, 0.7500]]}

=====

Record 4
{"formula": "TcMo3Se", "functional": "PBE", "state": "relaxed", "raw_formation_energy_ev_per_atom": 1.38, "space_group": "Pm-3m, No. 221", "de_polymorph_ev_per_atom": 0.0000, "total_energy_ev_per_cell": -39.47, "lattice": [[-0.2328, -4.3719, -1.1749], [1.1720, -1.1946, 4.2128], [-4.3727, -0.0874, 1.1917]], "species": ["Mo", "Mo", "Mo", "Tc", "Se"], "fractional_positions": [[0.0000, 0.5000, 0.0000], [0.0000, 0.0000, 0.5000], [0.5000, 0.0000, 0.0000], [0.5000, 0.5000, 0.5000], [0.0000, 0.0000, 0.0000]]}

=====

Record 5
{"formula": "TcMoSe", "functional": "PBE", "state": "relaxed", "raw_formation_energy_ev_per_atom": 0.14, "space_group": "P-6m2, No. 187", "de_polymorph_ev_per_atom": 0.0727, "total_energy_ev_per_cell": -24.27, "lattice": [[4.2502, 0.0000, 0.0000], [-2.1251, 3.6808, 0.0000], [0.0000, 0.0000, 2.9738]], "species": ["Mo", "Se", "Tc"], "fractional_positions": [[0.0000, 0.0000, 0.0001], [0.3333, 0.6667, 0.5001], [0.6667, 0.3333, 0.4998]]}

=====

Record 6
{"formula": "Tc2MoSe", "functional": "PBE", "state": "relaxed", "raw_formation_energy_ev_per_atom": 0.27, "space_group": "Pmm2, No. 25", "total_energy_ev_per_cell": -33.96, "lattice": [[-0.9424, 1.5620, -2.2987], [-3.6333, 0.4461, 1.7928], [1.6489, 4.3277, 2.2647]], "species": ["Mo", "Se", "Tc", "Tc"], "fractional_positions": [[0.0000, 0.0000, 0.4938], [0.5000, 0.5000, 0.7504], [0.0000, 0.0000, 0.0118], [0.5000, 0.5000, 0.2440]]}

=====

Record 7
{"formula": "TcMoSe", "functional": "PBE", "state": "relaxed", "raw_formation_energy_ev_per_atom": 0.46, "space_group": "Fmm2, No. 42", "de_polymorph_ev_per_atom": 0.3980, "total_energy_ev_per_cell": -23.29, "lattice": [[6.9663, -0.0416, 0.0297], [6.1621, 2.7311, 0.0389], [0.8042, -0.8935, 2.6247]], "species": ["Mo", "Se", "Tc"], "fractional_positions": [[0.0100, 0.0100, 0.9900], [0.3368, 0.3368, 0.6632], [0.6533, 0.6533, 0.3467]]}

=====

Record 8
{"formula": "Tc2MoSe", "functional": "PBE", "state": "relaxed", "raw_formation_energy_ev_per_atom": 0.27, "space_group": "Pmmm, No. 47", "total_energy_ev_per_cell": -33.95, "lattice": [[-2.0439, 2.2179, -0.0357], [-3.3359, -3.0736, 0.0331], [-0.0117, 0.0605, 4.4335]], "species": ["Mo", "Se", "Tc", "Tc"], "fractional_positions": [[0.5000, 0.0000, 0.5000], [0.0000, 0.5000, 0.5000], [0.0000, 0.0000, 0.0000], [0.5000, 0.5000, 0.0000]]}

=====

Record 9
{"formula": "TcMoSe3", "functional": "PBE", "state": "relaxed", "raw_formation_energy_ev_per_atom": 0.86, "space_group": "Pm-3m, No. 221", "de_polymorph_ev_per_atom": 0.0000, "total_energy_ev_per_cell": -27.34, "lattice": [[4.9384, 0.0000, 0.0000], [0.0000, 4.9384, 0.0000], [0.0000, 0.0000, 4.9384]], "species": ["Mo", "Tc", "Se", "Se", "Se"], "fractional_positions": [[0.0000, 0.0000, 0.0000], [0.5000, 0.5000, 0.5000], [0.0000, 0.5000, 0.0000], [0.0000, 0.0000, 0.5000], [0.5000, 0.0000, 0.0000]]}

=====

Record 10
{"formula": "TcMoSe4", "functional": "PBE", "state": "relaxed", "raw_formation_energy_ev_per_atom": 1.35, "space_group": "F-43m, No. 216", "de_polymorph_ev_per_atom": 1.8694, "total_energy_ev_per_cell": -27.02, "lattice": [[-3.5487, -3.0259, -3.0374], [-5.4747, 0.9313, 0.3694], [-2.7179, 2.3408, -4.2555]], "species": ["Tc", "Mo", "Se", "Se", "Se", "Se"], "fractional_positions": [[0.7500, 0.7500, 0.7500], [0.0000, 0.0000, 0.0000], [0.8757, 0.3748, 0.3748], [0.3748, 0.3748, 0.8757], [0.3748, 0.8757, 0.3748], [0.3748, 0.3748, 0.3748]]}

=====

Record 11
{"formula": "TcMo2Se", "functional": "PBE", "state": "relaxed", "raw_formation_energy_ev_per_atom": 0.38, "space_group": "I-4m2, No. 119", "total_energy_ev_per_cell": -33.98, "lattice": [[-2.2406, 0.6599, -4.6300], [1.4776, -3.0174, -3.9503], [-1.4747, -0.5784, 4.9380]], "species": ["Mo", "Mo", "Se", "Tc"], "fractional_positions": [[0.0000, 0.0000, 0.0000], [0.2500, 0.7500, 0.5000], [0.5000, 0.5000, 0.0000], [0.7500, 0.2500, 0.5000]]}

=====

Record 12
{"formula": "TcMo4Se", "functional": "PBE", "state": "relaxed", "raw_formation_energy_ev_per_atom": 0.66, "space_group": "F-43m, No. 216", "total_energy_ev_per_cell": -53.23, "lattice": [[0.0000, 3.6916, 3.6916], [3.6916, 0.0000, 3.6916], [3.6916, 3.6916, 0.0000]], "species": ["Tc", "Mo", "Mo", "Mo", "Mo", "Se"], "fractional_positions": [[0.0000, 0.0000, 0.0000], [0.8732, 0.3756, 0.3756], [0.3756, 0.3756, 0.8732], [0.3756, 0.8732, 0.3756], [0.3756, 0.3756, 0.3756], [0.7500, 0.7500, 0.7500]]}